[1]
# NiAg2SnTe PBE-GGA relaxed
data_NiAg2SnTe
_space_group_name_H-M_alt 'P 4/m m m'
_space_group_IT_number 123
_space_group_name_Hall '-P 4 2'
_cell_length_a 4.9786
_cell_length_b 4.9786
_cell_length_c 4.7717
_cell_angle_alpha 90.00
_cell_angle_beta 90.00
_cell_angle_gamma 90.00
loop_
_atom_site_label
_atom_site_type_symbol
_atom_site_fract_x
_atom_site_fract_y
_atom_site_fract_z
Ni1 Ni 0.0000 0.0000 0.0000
Ag1 Ag 0.0000 0.5000 0.0000
Sn1 Sn 0.0000 0.0000 0.5000
Te1 Te 0.5000 0.5000 0.5000
# - ΔE_f (raw): 32.27 kJ per mole of atoms
# - Crystal system: tetragonal



[2]
# ThNiAgSn PBE-GGA relaxed
data_ThNiAgSn
_space_group_name_H-M_alt 'F -4 3 m'
_space_group_IT_number 216
_space_group_name_Hall 'F -4 2 3'
_cell_length_a 6.9680
_cell_length_b 6.9680
_cell_length_c 6.9680
_cell_angle_alpha 90.00
_cell_angle_beta 90.00
_cell_angle_gamma 90.00
loop_
_atom_site_label
_atom_site_type_symbol
_atom_site_fract_x
_atom_site_fract_y
_atom_site_fract_z
Th1 Th 0.0000 0.0000 0.0000
Ni1 Ni 0.2500 0.2500 0.7500
Ag1 Ag 0.2500 0.2500 0.2500
Sn1 Sn 0.0000 0.0000 0.5000
# - Energy relative to the elements: -28 kJ/mol of atoms
# - Crystal system: cubic



[3]
# ZrNiAgSn PBE-GGA relaxed
data_ZrNiAgSn
_space_group_name_H-M_alt 'F -4 3 m'
_space_group_IT_number 216
_space_group_name_Hall 'F -4 2 3'
_cell_length_a 6.5984
_cell_length_b 6.5984
_cell_length_c 6.5984
_cell_angle_alpha 90.00
_cell_angle_beta 90.00
_cell_angle_gamma 90.00
loop_
_atom_site_label
_atom_site_type_symbol
_atom_site_fract_x
_atom_site_fract_y
_atom_site_fract_z
Zr1 Zr 0.0000 0.0000 0.0000
Ni1 Ni 0.2500 0.2500 0.7500
Ag1 Ag 0.2500 0.2500 0.2500
Sn1 Sn 0.0000 0.0000 0.5000
# - Energy relative to the elements: -20 kJ/mol of atoms
# - Crystal system: cubic



[4]
# SrNi2Ag PBE-GGA relaxed
data_SrNi2Ag
_space_group_name_H-M_alt 'I -4 2 d'
_space_group_IT_number 122
_space_group_name_Hall 'I -4 2bw'
_cell_length_a 4.5305
_cell_length_b 4.5305
_cell_length_c 17.9128
_cell_angle_alpha 90.00
_cell_angle_beta 90.00
_cell_angle_gamma 90.00
loop_
_atom_site_label
_atom_site_type_symbol
_atom_site_fract_x
_atom_site_fract_y
_atom_site_fract_z
Sr1 Sr 0.0000 0.0000 0.0000
Ni1 Ni 0.0517 0.2500 0.6250
Ag1 Ag 0.0000 0.0000 0.5000
# - Energy above the lowest structure with this stoichiometry: 235.2 meV/atom
# - Energy relative to the elements: 23 kJ/mol of atoms
# - Crystal system: tetragonal



[5]
# SrNi2Ag PBE-GGA relaxed
data_SrNi2Ag
_space_group_name_H-M_alt 'P 4 m m'
_space_group_IT_number 99
_cell_length_a 3.2458
_cell_length_b 3.2458
_cell_length_c 7.0744
_cell_angle_alpha 90.00
_cell_angle_beta 90.00
_cell_angle_gamma 90.00
loop_
_space_group_symop_operation_xyz
'x,y,z'
'-y,x,z'
'-x,-y,z'
'y,-x,z'
'-x,y,z'
'y,x,z'
'x,-y,z'
'-y,-x,z'
loop_
_atom_site_label
_atom_site_type_symbol
_atom_site_fract_x
_atom_site_fract_y
_atom_site_fract_z
Sr1 Sr 0.0000 0.0000 0.0000
Ni1 Ni 0.0000 0.0000 0.5715
Ni2 Ni 0.5000 0.5000 0.7028
Ag1 Ag 0.5000 0.5000 0.3395
# - Energy above the lowest structure with this stoichiometry: 239.7 meV/atom
# - Energy relative to the elements: 23 kJ/mol of atoms
# - Crystal system: tetragonal



[6]
# Sr3NiAg PBE-GGA relaxed
data_Sr3NiAg
_space_group_name_H-M_alt 'C 1 2/m 1'
_space_group_IT_number 12
_cell_length_a 17.5450
_cell_length_b 4.2739
_cell_length_c 9.1844
_cell_angle_alpha 90.00
_cell_angle_beta 92.49
_cell_angle_gamma 90.00
loop_
_space_group_symop_operation_xyz
'x,y,z'
'-x,-y,-z'
'-x,y,-z'
'x,-y,z'
'x+1/2,y+1/2,z'
'-x+1/2,-y+1/2,-z'
'-x+1/2,y+1/2,-z'
'x+1/2,-y+1/2,z'
loop_
_atom_site_label
_atom_site_type_symbol
_atom_site_fract_x
_atom_site_fract_y
_atom_site_fract_z
Sr1 Sr 0.0536 0.0000 0.3173
Sr2 Sr 0.1073 0.5000 0.9480
Sr3 Sr 0.2372 0.0000 0.7011
Ni1 Ni 0.2291 0.0000 0.0373
Ag1 Ag 0.0883 0.5000 0.5824
# - Energy above the lowest structure with this stoichiometry: 0.0 meV/atom
# - Energy relative to the elements: -12 kJ/mol of atoms
# - Crystal system: monoclinic



[7]
# SrNi2Ag PBE-GGA relaxed
data_SrNi2Ag
_space_group_name_H-M_alt 'F m -3 m'
_space_group_IT_number 225
_space_group_name_Hall '-F 4 2 3'
_cell_length_a 6.6350
_cell_length_b 6.6350
_cell_length_c 6.6350
_cell_angle_alpha 90.00
_cell_angle_beta 90.00
_cell_angle_gamma 90.00
loop_
_atom_site_label
_atom_site_type_symbol
_atom_site_fract_x
_atom_site_fract_y
_atom_site_fract_z
Sr1 Sr 0.0000 0.0000 0.0000
Ni1 Ni 0.2500 0.2500 0.2500
Ag1 Ag 0.0000 0.0000 0.5000
# - Energy above the lowest structure with this stoichiometry: 327.1 meV/atom
# - Energy relative to the elements: 32 kJ/mol of atoms
# - Crystal system: cubic



[8]
# SrNi2Ag2 PBE-GGA relaxed
data_SrNi2Ag2
_space_group_name_H-M_alt 'I 4/m m m'
_space_group_IT_number 139
_space_group_name_Hall '-I 4 2'
_cell_length_a 4.2124
_cell_length_b 4.2124
_cell_length_c 10.9922
_cell_angle_alpha 90.00
_cell_angle_beta 90.00
_cell_angle_gamma 90.00
loop_
_atom_site_label
_atom_site_type_symbol
_atom_site_fract_x
_atom_site_fract_y
_atom_site_fract_z
Sr1 Sr 0.0000 0.0000 0.0000
Ni1 Ni 0.0000 0.0000 0.3970
Ag1 Ag 0.0000 0.5000 0.2500
# - Energy above the lowest structure with this stoichiometry: 0.0 meV/atom
# - Energy relative to the elements: 6 kJ/mol of atoms
# - Crystal system: tetragonal



[9]
# SrNi2Ag PBE-GGA relaxed
data_SrNi2Ag
_space_group_name_H-M_alt 'P 4/m m m'
_space_group_IT_number 123
_space_group_name_Hall '-P 4 2'
_cell_length_a 4.2922
_cell_length_b 4.2922
_cell_length_c 3.9107
_cell_angle_alpha 90.00
_cell_angle_beta 90.00
_cell_angle_gamma 90.00
loop_
_atom_site_label
_atom_site_type_symbol
_atom_site_fract_x
_atom_site_fract_y
_atom_site_fract_z
Sr1 Sr 0.0000 0.0000 0.0000
Ni1 Ni 0.0000 0.5000 0.5000
Ag1 Ag 0.5000 0.5000 0.0000
# - Energy above the lowest structure with this stoichiometry: 303.8 meV/atom
# - Energy relative to the elements: 30 kJ/mol of atoms
# - Crystal system: tetragonal



[10]
# SrNiAg PBE-GGA relaxed
data_SrNiAg
_space_group_name_H-M_alt 'F -4 3 m'
_space_group_IT_number 216
_space_group_name_Hall 'F -4 2 3'
_cell_length_a 6.9840
_cell_length_b 6.9840
_cell_length_c 6.9840
_cell_angle_alpha 90.00
_cell_angle_beta 90.00
_cell_angle_gamma 90.00
loop_
_atom_site_label
_atom_site_type_symbol
_atom_site_fract_x
_atom_site_fract_y
_atom_site_fract_z
Sr1 Sr 0.0000 0.0000 0.0000
Ni1 Ni 0.2500 0.2500 0.2500
Ag1 Ag 0.2500 0.2500 0.7500
# - Energy relative to the elements: 64 kJ/mol of atoms
# - Crystal system: cubic



[11]
# SrNi4Ag PBE-GGA relaxed
data_SrNi4Ag
_space_group_name_H-M_alt 'F -4 3 m'
_space_group_IT_number 216
_space_group_name_Hall 'F -4 2 3'
_cell_length_a 7.1525
_cell_length_b 7.1525
_cell_length_c 7.1525
_cell_angle_alpha 90.00
_cell_angle_beta 90.00
_cell_angle_gamma 90.00
loop_
_atom_site_label
_atom_site_type_symbol
_atom_site_fract_x
_atom_site_fract_y
_atom_site_fract_z
Sr1 Sr 0.0000 0.0000 0.0000
Ni1 Ni 0.1243 0.1243 0.3757
Ag1 Ag 0.2500 0.2500 0.7500
# - Energy relative to the elements: 7 kJ/mol of atoms
# - Crystal system: cubic



[12]
# SrNi2Ag PBE-GGA relaxed
data_SrNi2Ag
_space_group_name_H-M_alt 'I -4 m 2'
_space_group_IT_number 119
_space_group_name_Hall 'I -4 -2'
_cell_length_a 4.1338
_cell_length_b 4.1338
_cell_length_c 8.6056
_cell_angle_alpha 90.00
_cell_angle_beta 90.00
_cell_angle_gamma 90.00
loop_
_atom_site_label
_atom_site_type_symbol
_atom_site_fract_x
_atom_site_fract_y
_atom_site_fract_z
Sr1 Sr 0.0000 0.0000 0.0000
Ni1 Ni 0.0000 0.0000 0.5000
Ni2 Ni 0.0000 0.5000 0.2500
Ag1 Ag 0.0000 0.5000 0.7500
# - Energy above the lowest structure with this stoichiometry: 346.3 meV/atom
# - Energy relative to the elements: 34 kJ/mol of atoms
# - Crystal system: tetragonal



[13]
# Sr8NiAg2 PBE-GGA relaxed
data_Sr8NiAg2
_space_group_name_H-M_alt 'C 1 2/m 1'
_space_group_IT_number 12
_cell_length_a 14.5691
_cell_length_b 7.9970
_cell_length_c 8.2837
_cell_angle_alpha 90.00
_cell_angle_beta 90.64
_cell_angle_gamma 90.00
loop_
_space_group_symop_operation_xyz
'x,y,z'
'-x,-y,-z'
'-x,y,-z'
'x,-y,z'
'x+1/2,y+1/2,z'
'-x+1/2,-y+1/2,-z'
'-x+1/2,y+1/2,-z'
'x+1/2,-y+1/2,z'
loop_
_atom_site_label
_atom_site_type_symbol
_atom_site_fract_x
_atom_site_fract_y
_atom_site_fract_z
Sr1 Sr 0.0429 0.2466 0.2565
Sr2 Sr 0.1989 0.0000 0.6068
Sr3 Sr 0.2009 0.5000 0.8907
Ni1 Ni 0.0000 0.0000 0.5000
Ag1 Ag 0.0966 0.0000 0.9519
# - Energy relative to the elements: -8 kJ/mol of atoms
# - Crystal system: monoclinic



[14]
# SrNi2Ag2 PBE-GGA relaxed
data_SrNi2Ag2
_space_group_name_H-M_alt 'P 4/m b m'
_space_group_IT_number 127
_space_group_name_Hall '-P 4 2ab'
_cell_length_a 7.5845
_cell_length_b 7.5845
_cell_length_c 3.1498
_cell_angle_alpha 90.00
_cell_angle_beta 90.00
_cell_angle_gamma 90.00
loop_
_atom_site_label
_atom_site_type_symbol
_atom_site_fract_x
_atom_site_fract_y
_atom_site_fract_z
Sr1 Sr 0.0000 0.0000 0.0000
Ni1 Ni 0.1163 0.3837 0.0000
Ag1 Ag 0.1711 0.6711 0.5000
# - Energy above the lowest structure with this stoichiometry: 105.4 meV/atom
# - Energy relative to the elements: 16 kJ/mol of atoms
# - Crystal system: tetragonal



[15]
# SrNiAg PBE-GGA relaxed
data_SrNiAg
_space_group_name_H-M_alt 'F -4 3 m'
_space_group_IT_number 216
_space_group_name_Hall 'F -4 2 3'
_cell_length_a 6.6719
_cell_length_b 6.6719
_cell_length_c 6.6719
_cell_angle_alpha 90.00
_cell_angle_beta 90.00
_cell_angle_gamma 90.00
loop_
_atom_site_label
_atom_site_type_symbol
_atom_site_fract_x
_atom_site_fract_y
_atom_site_fract_z
Sr1 Sr 0.0000 0.0000 0.0000
Ni1 Ni 0.2500 0.2500 0.2500
Ag1 Ag 0.0000 0.0000 0.5000
# - Energy relative to the elements: 16 kJ/mol of atoms
# - Crystal system: cubic



[16]
# Sr2Ni2Ag PBE-GGA relaxed
data_Sr2Ni2Ag
_space_group_name_H-M_alt 'P 4/m b m'
_space_group_IT_number 127
_space_group_name_Hall '-P 4 2ab'
_cell_length_a 7.3623
_cell_length_b 7.3623
_cell_length_c 4.3088
_cell_angle_alpha 90.00
_cell_angle_beta 90.00
_cell_angle_gamma 90.00
loop_
_atom_site_label
_atom_site_type_symbol
_atom_site_fract_x
_atom_site_fract_y
_atom_site_fract_z
Sr1 Sr 0.1813 0.3187 0.0000
Ni1 Ni 0.1121 0.6121 0.5000
Ag1 Ag 0.0000 0.0000 0.5000
# - Energy above the lowest structure with this stoichiometry: 0.0 meV/atom
# - Energy relative to the elements: 1 kJ/mol of atoms
# - Crystal system: tetragonal



[17]
# SrNi2Ag PBE-GGA relaxed
data_SrNi2Ag
_space_group_name_H-M_alt 'P 1 m 1'
_space_group_IT_number 6
_cell_length_a 3.9768
_cell_length_b 3.9753
_cell_length_c 5.4476
_cell_angle_alpha 90.00
_cell_angle_beta 111.23
_cell_angle_gamma 90.00
loop_
_space_group_symop_operation_xyz
'x,y,z'
'x,-y,z'
loop_
_atom_site_label
_atom_site_type_symbol
_atom_site_fract_x
_atom_site_fract_y
_atom_site_fract_z
Sr1 Sr 0.0000 0.0000 0.0000
Ni1 Ni 0.6128 0.5000 0.2263
Ni2 Ni 0.7182 0.0000 0.4410
Ag1 Ag 0.2887 0.5000 0.5808
# - Energy above the lowest structure with this stoichiometry: 180.1 meV/atom
# - Energy relative to the elements: 18 kJ/mol of atoms
# - Crystal system: monoclinic



[18]
# Sr4NiAg PBE-GGA relaxed
data_Sr4NiAg
_space_group_name_H-M_alt 'F -4 3 m'
_space_group_IT_number 216
_space_group_name_Hall 'F -4 2 3'
_cell_length_a 9.9397
_cell_length_b 9.9397
_cell_length_c 9.9397
_cell_angle_alpha 90.00
_cell_angle_beta 90.00
_cell_angle_gamma 90.00
loop_
_atom_site_label
_atom_site_type_symbol
_atom_site_fract_x
_atom_site_fract_y
_atom_site_fract_z
Sr1 Sr 0.1253 0.1253 0.1253
Ni1 Ni 0.0000 0.0000 0.5000
Ag1 Ag 0.2500 0.2500 0.7500
# - Energy above the lowest structure with this stoichiometry: 912.2 meV/atom
# - Energy relative to the elements: 82 kJ/mol of atoms
# - Crystal system: cubic



[19]
# SrNiAg PBE-GGA relaxed
data_SrNiAg
_space_group_name_H-M_alt 'P -1'
_space_group_IT_number 2
_cell_length_a 4.1903
_cell_length_b 5.5816
_cell_length_c 6.6229
_cell_angle_alpha 75.26
_cell_angle_beta 71.62
_cell_angle_gamma 89.91
loop_
_space_group_symop_operation_xyz
'x,y,z'
'-x,-y,-z'
loop_
_atom_site_label
_atom_site_type_symbol
_atom_site_fract_x
_atom_site_fract_y
_atom_site_fract_z
Sr1 Sr 0.1195 0.3022 0.2617
Ni1 Ni 0.2251 0.9018 0.0501
Ag1 Ag 0.4058 0.2647 0.6882
# - Energy relative to the elements: -10 kJ/mol of atoms
# - Crystal system: triclinic



[20]
# Sr6Ni2Ag PBE-GGA relaxed
data_Sr6Ni2Ag
_space_group_name_H-M_alt 'I m m m'
_space_group_IT_number 71
_space_group_name_Hall '-I 2 2'
_cell_length_a 10.4560
_cell_length_b 10.8101
_cell_length_c 11.1706
_cell_angle_alpha 90.00
_cell_angle_beta 90.00
_cell_angle_gamma 90.00
loop_
_atom_site_label
_atom_site_type_symbol
_atom_site_fract_x
_atom_site_fract_y
_atom_site_fract_z
Sr1 Sr 0.0000 0.2009 0.2151
Sr2 Sr 0.1920 0.5000 0.1767
Sr3 Sr 0.2011 0.3192 0.5000
Ni1 Ni 0.0000 0.3902 0.0000
Ni2 Ni 0.0000 0.5000 0.3949
Ag1 Ag 0.0000 0.0000 0.0000
Ag2 Ag 0.0000 0.0000 0.5000
# - Energy relative to the elements: -6 kJ/mol of atoms
# - Crystal system: orthorhombic